(1)
Compound: ScNi2Au2
Source: the Alexandria database
Functional: GGA-PBEsol
Structure: relaxed

The structure in CIF format:
```
data_ScNi2Au2
_cell_length_a 3.5221
_cell_length_b 3.5221
_cell_length_c 6.8400
_cell_angle_alpha 104.92
_cell_angle_beta 104.92
_cell_angle_gamma 90.00
_space_group_name_H-M_alt 'P 1'
_space_group_IT_number 1
_space_group_name_Hall 'P 1'
loop_
_atom_site_label
_atom_site_type_symbol
_atom_site_fract_x
_atom_site_fract_y
_atom_site_fract_z
Au1 Au 0.6058 0.6058 0.2116
Sc1 Sc 0.0000 0.0000 0.0000
Au2 Au 0.3942 0.3942 0.7884
Ni1 Ni 0.7500 0.2500 0.5000
Ni2 Ni 0.2500 0.7500 0.5000
```

Values from the calculation:
raw total energy: -27.9 eV per cell
calculated density: 11.7 g/cm3

---

(2)
Compound: BePt4Au
Source: the Alexandria database
Functional: GGA-PBEsol
Structure: relaxed

The structure in CIF format:
```
data_BePt4Au
_cell_length_a 5.1635
_cell_length_b 5.1635
_cell_length_c 5.1635
_cell_angle_alpha 60.00
_cell_angle_beta 60.00
_cell_angle_gamma 60.00
_space_group_name_H-M_alt 'P 1'
_space_group_IT_number 1
_space_group_name_Hall 'P 1'
loop_
_atom_site_label
_atom_site_type_symbol
_atom_site_fract_x
_atom_site_fract_y
_atom_site_fract_z
Au1 Au 0.7500 0.7500 0.7500
Be1 Be 0.0000 0.0000 0.0000
Pt1 Pt 0.3749 0.3749 0.3749
Pt2 Pt 0.3749 0.8752 0.3749
Pt3 Pt 0.8752 0.3749 0.3749
Pt4 Pt 0.3749 0.3749 0.8752
```

Values from the calculation:
raw total energy: -33.9 eV per cell
calculated density: 16.8 g/cm3

---

(3)
Compound: TaCuPt
Source: the Alexandria database
Functional: GGA-PBEsol
Structure: relaxed

The structure in CIF format:
```
data_TaCuPt
_cell_length_a 3.2767
_cell_length_b 3.2767
_cell_length_c 4.7229
_cell_angle_alpha 110.29
_cell_angle_beta 110.29
_cell_angle_gamma 90.00
_space_group_name_H-M_alt 'P 1'
_space_group_IT_number 1
_space_group_name_Hall 'P 1'
loop_
_atom_site_label
_atom_site_type_symbol
_atom_site_fract_x
_atom_site_fract_y
_atom_site_fract_z
Pt1 Pt 0.6631 0.6631 0.3263
Cu1 Cu 0.0028 0.0028 0.0054
Ta1 Ta 0.3340 0.3340 0.6683
```

Values from the calculation:
offset from the most stable computed form: 43 meV/atom
raw total energy: -25.0 eV per cell
calculated density: 16.5 g/cm3

---

(4)
Compound: BaMo2As
Source: the Alexandria database
Functional: GGA-PBEsol
Structure: relaxed

The structure in CIF format:
```
data_BaMo2As
_cell_length_a 4.3117
_cell_length_b 4.3117
_cell_length_c 6.4413
_cell_angle_alpha 70.45
_cell_angle_beta 70.45
_cell_angle_gamma 60.00
_space_group_name_H-M_alt 'P 1'
_space_group_IT_number 1
_space_group_name_Hall 'P 1'
loop_
_atom_site_label
_atom_site_type_symbol
_atom_site_fract_x
_atom_site_fract_y
_atom_site_fract_z
Ba1 Ba 0.7482 0.7482 0.7553
Mo1 Mo 0.9504 0.9504 0.1489
Mo2 Mo 0.2508 0.2508 0.2475
As1 As 0.5496 0.5496 0.3512
```

Values from the calculation:
raw total energy: -30.2 eV per cell
calculated density: 7.0 g/cm3

---

| no. | ΔE_f (eV per atom) |
| --- | --- |
| 1 | -0.235 |
| 2 | 0.310 |
| 3 | -0.372 |
| 4 | 0.154 |